No. 1
Crystalline Y4Ho3In at its relaxed geometry. Source: the Alexandria database, functional GGA-PBE.

Lattice parameters (Å, degrees): 6.1558 7.0416 11.1991 90.00 90.00 90.00
Last column: nearest neighbours and their distance in Å.
Element x y z (fractional)
Y1 0.1640 0.8679 0.0000  4 Ho 3.37-3.65, 6 Y 3.40-3.75, 2 In 3.46-3.59
Ho1 0.9695 0.6140 0.2439  2 In 3.38-3.48, 4 Ho 3.41-3.49, 6 Y 3.43-3.72
Y2 0.4950 0.8727 0.7385  1 In 3.34, 6 Y 3.40-3.57, 5 Ho 3.43-3.72
Ho2 0.4695 0.3860 0.2561  2 In 3.38-3.48, 4 Ho 3.41-3.49, 6 Y 3.43-3.72
Y3 0.1355 0.8681 0.5000  6 Y 3.45-3.75, 2 In 3.46-3.60, 4 Ho 3.50-3.55
Ho3 0.4695 0.3860 0.7439  2 In 3.38-3.48, 4 Ho 3.41-3.49, 6 Y 3.43-3.72
In1 0.6491 0.6226 0.5000  6 Y 3.34-3.60, 6 Ho 3.38-3.61
Ho4 0.6376 0.6283 0.0000  6 Y 3.37-3.65, 4 Ho 3.41-3.49, 2 In 3.49-3.61
Ho5 0.1376 0.3717 0.5000  6 Y 3.37-3.65, 4 Ho 3.41-3.49, 2 In 3.49-3.61
Y4 0.9950 0.1273 0.7615  1 In 3.34, 6 Y 3.40-3.57, 5 Ho 3.43-3.72
In2 0.1491 0.3774 0.0000  6 Y 3.34-3.60, 6 Ho 3.38-3.61
Y5 0.9950 0.1273 0.2385  1 In 3.34, 6 Y 3.40-3.57, 5 Ho 3.43-3.72
Ho6 0.9695 0.6140 0.7561  2 In 3.38-3.48, 4 Ho 3.41-3.49, 6 Y 3.43-3.72
Y6 0.6640 0.1321 0.5000  4 Ho 3.37-3.65, 6 Y 3.40-3.75, 2 In 3.46-3.59
Y7 0.6355 0.1319 0.0000  6 Y 3.45-3.75, 2 In 3.46-3.60, 4 Ho 3.50-3.55
Y8 0.4950 0.8727 0.2615  1 In 3.34, 6 Y 3.40-3.57, 5 Ho 3.43-3.72

Results
E_tot in eV/cell: -86.42
Energy of formation in kJ/mol of formula units: -85
Total magnetic moment in μB per formula unit: 0.00
Space group: No. 31

---

No. 2
Crystalline Y7Ho4In at its relaxed geometry. Source: the Alexandria database, functional GGA-PBE.

Lattice parameters (Å, degrees): 5.7693 9.4614 9.2000 54.49 71.73 72.25
Last column: nearest neighbours and their distance in Å.
Element x y z (fractional)
Ho1 0.6851 0.7785 0.8512  1 Y 2.91
Y1 0.9085 0.4228 0.7603  1 In 3.22, 2 Y 3.49, 2 Ho 3.54
Ho2 0.4594 0.7015 0.3796  2 Y 2.94-3.22, 1 Ho 3.07
Y2 0.0915 0.5772 0.2397  1 In 3.22, 2 Y 3.49, 2 Ho 3.54
Y3 0.2948 0.6268 0.7837  4 Ho 3.22-3.38, 3 Y 3.49-3.55
Y4 0.1616 0.0889 0.5880  1 In 3.24, 3 Ho 3.35-3.54, 1 Y 3.55
Y5 0.7052 0.3732 0.2163  4 Ho 3.22-3.38, 3 Y 3.49-3.55
Ho3 0.5406 0.2985 0.6204  2 Y 2.94-3.22, 1 Ho 3.07
Ho4 0.3149 0.2215 0.1488  1 Y 2.91
Y6 0.8384 0.9111 0.4120  1 In 3.24, 3 Ho 3.35-3.54, 1 Y 3.55
In1 0.0000 0.0000 0.0000  4 Y 2.88-3.22
Y7 0.5000 0.0000 0.0000  2 In 2.88, 4 Ho 2.91-2.94

Results
E_tot in eV/cell: -63.93
Energy of formation in kJ/mol of formula units: 228
Total magnetic moment in μB per formula unit: 0.00
Space group: No. 12

---

No. 3
Crystalline Y4HoIn2 at its relaxed geometry. Source: the Alexandria database, functional GGA-PBE.

Lattice parameters (Å, degrees): 5.3268 9.0844 9.0844 90.00 90.00 90.00
Last column: nearest neighbours and their distance in Å.
Element x y z (fractional)
Ho1 0.0000 0.5000 0.5000  2 In 3.12
Y1 0.0000 0.0739 0.3290  3 In 3.08-3.17, 2 Y 3.28-3.38
Y2 0.0000 0.9261 0.6710  3 In 3.08-3.17, 2 Y 3.28-3.38
Y3 0.5000 0.5739 0.1710  3 In 3.08-3.17, 2 Y 3.28-3.38
In1 0.0000 0.2570 0.7430  6 Y 3.08-3.17, 1 Ho 3.12
Y4 0.5000 0.1710 0.5739  3 In 3.08-3.17, 2 Y 3.28-3.38
In2 0.5000 0.7570 0.7570  6 Y 3.08-3.17, 1 Ho 3.12
Y5 0.5000 0.4261 0.8290  3 In 3.08-3.17, 2 Y 3.28-3.38
Ho2 0.5000 0.0000 0.0000  2 In 3.12
In3 0.5000 0.2430 0.2430  6 Y 3.08-3.17, 1 Ho 3.12
Y6 0.0000 0.6710 0.9261  3 In 3.08-3.17, 2 Y 3.28-3.38
Y7 0.0000 0.3290 0.0739  3 In 3.08-3.17, 2 Y 3.28-3.38
Y8 0.5000 0.8290 0.4261  3 In 3.08-3.17, 2 Y 3.28-3.38
In4 0.0000 0.7430 0.2570  6 Y 3.08-3.17, 1 Ho 3.12

Results
E_tot in eV/cell: -73.69
Energy of formation in kJ/mol of formula units: -90
Total magnetic moment in μB per formula unit: 0.00
Space group: No. 136

---

No. 4
Crystalline Y4Ho4In at its relaxed geometry. Source: the Alexandria database, functional GGA-PBE.

Lattice parameters (Å, degrees): 4.8300 7.9176 7.9176 84.66 72.24 72.24
Last column: nearest neighbours and their distance in Å.
Element x y z (fractional)
Ho1 0.6628 0.3372 0.3372  5 Ho 3.44-3.47, 6 Y 3.51-3.62, 1 In 3.60
Y1 0.6610 0.6782 0.9999  2 In 3.42, 4 Y 3.43-3.61, 6 Ho 3.51-3.62
Ho2 0.0000 0.3372 0.6628  5 Ho 3.44-3.47, 6 Y 3.51-3.62, 1 In 3.60
In1 0.0000 0.0000 0.0000  8 Y 3.42, 4 Ho 3.60
Y2 0.3390 0.3218 0.0001  2 In 3.42, 4 Y 3.43-3.61, 6 Ho 3.51-3.62
Ho3 0.0000 0.6628 0.3372  5 Ho 3.44-3.47, 6 Y 3.51-3.62, 1 In 3.60
Y3 0.6609 0.0001 0.6782  2 In 3.42, 4 Y 3.43-3.61, 6 Ho 3.51-3.62
Y4 0.3391 0.9999 0.3218  2 In 3.42, 4 Y 3.43-3.61, 6 Ho 3.51-3.62
Ho4 0.3372 0.6628 0.6628  5 Ho 3.44-3.47, 6 Y 3.51-3.62, 1 In 3.60

Results
E_tot in eV/cell: -47.60
Energy of formation in kJ/mol of formula units: -67
Total magnetic moment in μB per formula unit: 0.00
Space group: No. 139

---

No. 5
Crystalline Y2Ho5In4 at its relaxed geometry. Source: the Alexandria database, functional GGA-PBE.

Lattice parameters (Å, degrees): 3.4211 8.5876 10.5090 83.58 90.00 90.00
Last column: nearest neighbours and their distance in Å.
Element x y z (fractional)
Ho1 0.0000 0.1649 0.8548  6 In 3.25-3.54, 1 Y 3.28, 4 Ho 3.40-3.53
Y1 0.0000 0.0859 0.3591  6 In 3.15-3.34, 3 Y 3.16-3.42, 2 Ho 3.25-3.28
Ho2 0.0000 0.5333 0.6676  4 In 3.23-3.45, 1 Y 3.25, 4 Ho 3.42-3.53
Y2 0.0000 0.9141 0.6409  6 In 3.15-3.34, 3 Y 3.16-3.42, 2 Ho 3.25-3.28
Ho3 0.0000 0.4667 0.3324  4 In 3.23-3.45, 1 Y 3.25, 4 Ho 3.42-3.53
Ho4 0.0000 0.8351 0.1452  6 In 3.25-3.54, 1 Y 3.28, 4 Ho 3.40-3.53
In1 0.5000 0.8023 0.8861  2 Y 3.15, 4 Ho 3.23-3.25, 2 In 3.42
In2 0.5000 0.7530 0.4246  6 Ho 3.23-3.45, 4 Y 3.27-3.34, 2 In 3.42
Ho5 0.0000 0.5000 0.0000  4 In 3.23, 6 Ho 3.40-3.47
In3 0.5000 0.2470 0.5754  6 Ho 3.23-3.45, 4 Y 3.27-3.34, 2 In 3.42
In4 0.5000 0.1977 0.1139  2 Y 3.15, 4 Ho 3.23-3.25, 2 In 3.42

Results
E_tot in eV/cell: -49.41
Energy of formation in kJ/mol of formula units: -254
Total magnetic moment in μB per formula unit: 0.00
Space group: No. 10

---

No. 6
Crystalline Y3Ho4In4 at its relaxed geometry. Source: the Alexandria database, functional GGA-PBE.

Lattice parameters (Å, degrees): 4.6426 8.6293 9.6305 116.62 103.95 90.00
Last column: nearest neighbours and their distance in Å.
Element x y z (fractional)
Ho1 0.3309 0.1333 0.6619  4 In 3.01-3.11
In1 0.2287 0.7287 0.4573  6 Ho 3.05-3.11
In2 0.5000 0.8240 0.0000  2 Ho 3.01, 1 In 3.04
Ho2 0.6691 0.8667 0.3381  4 In 3.01-3.11
In3 0.5000 0.1760 0.0000  2 Ho 3.01, 1 In 3.04
Y1 0.0000 0.5000 0.0000  6 In 3.63-3.79, 8 Ho 4.02
In4 0.7713 0.2713 0.5427  6 Ho 3.05-3.11
Ho3 0.3309 0.5285 0.6619  4 In 3.01-3.11
Y2 0.8818 0.8818 0.7636  6 In 3.40-3.44, 4 Ho 3.59
Ho4 0.6691 0.4715 0.3381  4 In 3.01-3.11
Y3 0.1182 0.1182 0.2364  6 In 3.40-3.44, 4 Ho 3.59

Results
E_tot in eV/cell: -50.96
Energy of formation in kJ/mol of formula units: -222
Total magnetic moment in μB per formula unit: 0.00
Space group: No. 71

---

No. 7
Crystalline YHo6In4 at its relaxed geometry. Source: the Alexandria database, functional GGA-PBE.

Lattice parameters (Å, degrees): 3.6689 10.0626 10.0626 120.00 90.00 90.00
Last column: nearest neighbours and their distance in Å.
Element x y z (fractional)
Ho1 0.0000 0.5375 0.4625  5 In 3.27-3.56, 4 Ho 3.66
In1 0.5000 0.8390 0.1610  6 Ho 3.09-3.27, 2 Y 3.35
In2 0.0000 0.3333 0.6667  6 Ho 3.10
Ho2 0.0000 0.5375 0.0750  5 In 3.27-3.56, 4 Ho 3.66
Ho3 0.0000 0.9250 0.4625  5 In 3.27-3.56, 4 Ho 3.66
In3 0.5000 0.3220 0.1610  6 Ho 3.09-3.27, 2 Y 3.35
Ho4 0.5000 0.1901 0.8099  4 In 3.09-3.10
Y1 0.0000 0.0000 0.0000  6 In 3.35, 2 Y 3.67
In4 0.5000 0.8390 0.6780  6 Ho 3.09-3.27, 2 Y 3.35
Ho5 0.5000 0.1901 0.3802  4 In 3.09-3.10
Ho6 0.5000 0.6198 0.8099  4 In 3.09-3.10

Results
E_tot in eV/cell: -48.10
Energy of formation in kJ/mol of formula units: -310
Total magnetic moment in μB per formula unit: 2.21
Space group: No. 187

---

No. 8
Crystalline YHo2In9 at its relaxed geometry. Source: the Alexandria database, functional GGA-PBE.

Lattice parameters (Å, degrees): 4.6343 4.6343 13.8973 90.00 90.00 90.00
Last column: nearest neighbours and their distance in Å.
Element x y z (fractional)
In1 0.0000 0.5000 0.8325  8 In 3.27-3.28, 2 Ho 3.27, 2 Y 3.28
Ho1 0.0000 0.0000 0.3336  12 In 3.27-3.28
In2 0.0000 0.5000 0.5000  4 Ho 3.27, 8 In 3.27-3.28
In3 0.5000 0.5000 0.0000  4 Y 3.28, 8 In 3.28
In4 0.5000 0.5000 0.6665  8 In 3.27, 4 Ho 3.28
Y1 0.0000 0.0000 0.0000  12 In 3.28
Ho2 0.0000 0.0000 0.6664  12 In 3.27-3.28
In5 0.0000 0.5000 0.1675  8 In 3.27-3.28, 2 Ho 3.27, 2 Y 3.28
In6 0.5000 0.0000 0.8325  8 In 3.27-3.28, 2 Ho 3.27, 2 Y 3.28
In7 0.5000 0.5000 0.3335  8 In 3.27, 4 Ho 3.28
In8 0.5000 0.0000 0.5000  4 Ho 3.27, 8 In 3.27-3.28
In9 0.5000 0.0000 0.1675  8 In 3.27-3.28, 2 Ho 3.27, 2 Y 3.28

Results
E_tot in eV/cell: -45.17
Energy of formation in kJ/mol of formula units: -473
Total magnetic moment in μB per formula unit: 0.00
Space group: No. 123

---

No. 9
Crystalline Y2HoIn4 at its relaxed geometry. Source: the Alexandria database, functional GGA-PBE.

Lattice parameters (Å, degrees): 5.2582 5.2582 8.1528 108.81 108.81 90.00
Last column: nearest neighbours and their distance in Å.
Element x y z (fractional)
Ho1 0.0000 0.0000 0.0000  8 In 3.11
Y1 0.2509 0.2509 0.5019  8 In 3.28-3.29, 1 Ho 3.64
In1 0.8856 0.3856 0.7712  2 Ho 3.11, 4 Y 3.28-3.29, 1 In 3.32
In2 0.3856 0.8856 0.7712  2 Ho 3.11, 4 Y 3.28-3.29, 1 In 3.32
In3 0.1144 0.6144 0.2288  2 Ho 3.11, 4 Y 3.28-3.29, 1 In 3.32
In4 0.6144 0.1144 0.2288  2 Ho 3.11, 4 Y 3.28-3.29, 1 In 3.32
Y2 0.7491 0.7491 0.4981  8 In 3.28-3.29, 1 Ho 3.64

Results
E_tot in eV/cell: -30.77
Energy of formation in kJ/mol of formula units: -223
Total magnetic moment in μB per formula unit: 0.13
Space group: No. 139